The following is a SCAN calculation of MnReCl2 at its PBEsol-relaxed geometry, from the Alexandria database.

Output
Total magnetic moment   3.78 μB/f.u.
Relative energy among the computed polymorphs   19.56 kcal/mol of atoms
Crystal system   tetragonal
E   -103.0 eV per cell
Formation energy from raw total energies   0.581 eV/atom
Space-group type   No. 123

abc: 2.831 2.831 9.207
angles: 90.00 90.00 90.00
Positions (direct):
Mn 0.000 0.000 0.000
Re 0.000 0.000 0.500
Cl 0.500 0.500 0.171
Cl 0.500 0.500 0.829